Density functional theory data (PBE) for crystalline CsY2S2 at its relaxed geometry.

a = 5.1834 Å, b = 5.1834 Å, c = 6.8775 Å
α = 67.86°, β = 67.86°, γ = 90.00°
Element x y z (fractional)
1 Cs 0.0000 0.0000 0.0000
2 Y 0.3315 0.3315 0.3369
3 Y 0.6685 0.6685 0.6631
4 S 0.7500 0.2500 0.5000
5 S 0.2500 0.7500 0.5000

Density functional theory data (PBE) for crystalline Tb2Te3 at its relaxed geometry.

a = 4.3079 Å, b = 11.8503 Å, c = 12.0469 Å
α = 90.00°, β = 90.00°, γ = 90.00°
Element x y z (fractional)
1 Tb 0.2500 0.1885 0.4819
2 Tb 0.2500 0.3115 0.9819
3 Tb 0.7500 0.8115 0.5181
4 Tb 0.7500 0.6885 0.0181
5 Tb 0.7500 0.5036 0.6965
6 Tb 0.7500 0.9964 0.1965
7 Tb 0.2500 0.4964 0.3035
8 Tb 0.2500 0.0036 0.8035
9 Te 0.2500 0.6229 0.5417
10 Te 0.2500 0.8771 0.0417
11 Te 0.7500 0.3771 0.4583
12 Te 0.7500 0.1229 0.9583
13 Te 0.7500 0.0565 0.6177
14 Te 0.7500 0.4435 0.1177
15 Te 0.2500 0.9435 0.3823
16 Te 0.2500 0.5565 0.8823
17 Te 0.2500 0.3052 0.7233
18 Te 0.2500 0.1948 0.2233
19 Te 0.7500 0.6948 0.2767
20 Te 0.7500 0.8052 0.7767

no.,E_form (uncorrected) (kJ/mol of atoms)
1,-116.5
2,-135.0